A plane-wave DFT calculation with PBE was carried out for a relaxed structure of YZr2Si.

## Properties
**Total energy**: -29.8 eV per formula unit
**Total moment**: 0.00 μB/atom
**V**: 21.67 A^3/atom
**Energy above the lowest structure with this stoichiometry**: 0.0907 eV per atom

Cell and atoms, written as CIF:
```
data_YZr2Si
_chemical_formula_sum 'Y2 Zr4 Si2'
_space_group_name_H-M_alt 'I -4 m 2'
_space_group_IT_number 119
_space_group_name_Hall 'I -4 -2'
_cell_length_a 4.3048
_cell_length_b 4.3048
_cell_length_c 9.3546
_cell_angle_alpha 90.00
_cell_angle_beta 90.00
_cell_angle_gamma 90.00
loop_
_atom_site_label
_atom_site_type_symbol
_atom_site_fract_x
_atom_site_fract_y
_atom_site_fract_z
Y1 Y 0.0000 0.0000 0.0000
Zr1 Zr 0.0000 0.0000 0.5000
Zr2 Zr 0.0000 0.5000 0.7500
Si1 Si 0.0000 0.5000 0.2500
```

A plane-wave DFT calculation with PBE was carried out for a relaxed structure of Y2Zr3Si4.

## Properties
**Total energy**: -68.3 eV per formula unit
**Total moment**: 0.00 μB/atom
**V**: 20.24 A^3/atom

Cell and atoms, written as CIF:
```
data_Y2Zr3Si4
_chemical_formula_sum 'Y4 Zr6 Si8'
_space_group_name_H-M_alt 'P 1 21/c 1'
_space_group_IT_number 14
_space_group_name_Hall '-P 2ybc'
_cell_length_a 7.3282
_cell_length_b 7.3359
_cell_length_c 7.1250
_cell_angle_alpha 90.00
_cell_angle_beta 108.02
_cell_angle_gamma 90.00
loop_
_atom_site_label
_atom_site_type_symbol
_atom_site_fract_x
_atom_site_fract_y
_atom_site_fract_z
Y1 Y 0.1927 0.1727 0.0747
Zr1 Zr 0.2521 0.6808 0.2493
Zr2 Zr 0.5000 0.0000 0.5000
Si1 Si 0.0815 0.5318 0.8715
Si2 Si 0.4921 0.1221 0.8727
```

A plane-wave DFT calculation with PBE was carried out for a relaxed structure of YZr2Si.

## Properties
**Total energy**: -29.9 eV per formula unit
**Total moment**: 0.00 μB/atom
**V**: 21.50 A^3/atom
**Energy above the lowest structure with this stoichiometry**: 0.0467 eV per atom

Cell and atoms, written as CIF:
```
data_YZr2Si
_chemical_formula_sum 'Y1 Zr2 Si1'
_space_group_name_H-M_alt 'P 4/m m m'
_space_group_IT_number 123
_space_group_name_Hall '-P 4 2'
_cell_length_a 4.4025
_cell_length_b 4.4025
_cell_length_c 4.4369
_cell_angle_alpha 90.00
_cell_angle_beta 90.00
_cell_angle_gamma 90.00
loop_
_atom_site_label
_atom_site_type_symbol
_atom_site_fract_x
_atom_site_fract_y
_atom_site_fract_z
Y1 Y 0.0000 0.0000 0.0000
Zr1 Zr 0.0000 0.5000 0.5000
Si1 Si 0.5000 0.5000 0.0000
```

A plane-wave DFT calculation with PBE was carried out for a relaxed structure of Y4ZrSi.

## Properties
**Total energy**: -36.4 eV per formula unit
**Total moment**: 0.24 μB/atom
**V**: 28.00 A^3/atom

Cell and atoms, written as CIF:
```
data_Y4ZrSi
_chemical_formula_sum 'Y16 Zr4 Si4'
_space_group_name_H-M_alt 'F -4 3 m'
_space_group_IT_number 216
_space_group_name_Hall 'F -4 2 3'
_cell_length_a 8.7588
_cell_length_b 8.7588
_cell_length_c 8.7588
_cell_angle_alpha 90.00
_cell_angle_beta 90.00
_cell_angle_gamma 90.00
loop_
_atom_site_label
_atom_site_type_symbol
_atom_site_fract_x
_atom_site_fract_y
_atom_site_fract_z
Y1 Y 0.1240 0.1240 0.1240
Zr1 Zr 0.2500 0.2500 0.7500
Si1 Si 0.0000 0.0000 0.5000
```

A plane-wave DFT calculation with PBE was carried out for a relaxed structure of YZr2Si.

## Properties
**Total energy**: -29.5 eV per formula unit
**Total moment**: 0.00 μB/atom
**V**: 22.76 A^3/atom
**Energy above the lowest structure with this stoichiometry**: 0.1487 eV per atom

Cell and atoms, written as CIF:
```
data_YZr2Si
_chemical_formula_sum 'Y1 Zr2 Si1'
_space_group_name_H-M_alt 'P 1 2/m 1'
_space_group_IT_number 10
_space_group_name_Hall '-P 2y'
_cell_length_a 3.3355
_cell_length_b 4.9026
_cell_length_c 5.7013
_cell_angle_alpha 90.00
_cell_angle_beta 102.46
_cell_angle_gamma 90.00
loop_
_atom_site_label
_atom_site_type_symbol
_atom_site_fract_x
_atom_site_fract_y
_atom_site_fract_z
Y1 Y 0.0000 0.0000 0.0000
Zr1 Zr 0.3480 0.5000 0.7247
Si1 Si 0.5000 0.0000 0.5000
```

A plane-wave DFT calculation with PBE was carried out for a relaxed structure of YZr2Si.

## Properties
**Total energy**: -29.0 eV per formula unit
**Total moment**: 0.00 μB/atom
**V**: 21.02 A^3/atom
**Energy above the lowest structure with this stoichiometry**: 0.2764 eV per atom

Cell and atoms, written as CIF:
```
data_YZr2Si
_chemical_formula_sum 'Y4 Zr8 Si4'
_space_group_name_H-M_alt 'F m -3 m'
_space_group_IT_number 225
_space_group_name_Hall '-F 4 2 3'
_cell_length_a 6.9539
_cell_length_b 6.9539
_cell_length_c 6.9539
_cell_angle_alpha 90.00
_cell_angle_beta 90.00
_cell_angle_gamma 90.00
loop_
_atom_site_label
_atom_site_type_symbol
_atom_site_fract_x
_atom_site_fract_y
_atom_site_fract_z
Y1 Y 0.0000 0.0000 0.0000
Zr1 Zr 0.2500 0.2500 0.2500
Si1 Si 0.0000 0.0000 0.5000
```